(1)
## Ba2CrW (PBE)

Data for Ba2CrW after structural relaxation.

Computed properties:
D(E_F): 4.744 states/eV per cell
Formation enthalpy at 0 K: 914 meV per atom
Energy relative to the lowest polymorph listed for this composition: 152.4 meV per atom

abc: 10.062 10.062 10.062
angles: 159.78 158.90 29.39
Sites, in units of the cell vectors:
Ba 0.148 0.148 0.000
Ba 0.852 0.852 0.000
Cr 0.000 0.500 0.500
W 0.500 0.000 0.500

***

(2)
## BaCr2W (PBE)

Data for BaCr2W after structural relaxation.

Computed properties:
D(E_F): 4.570 states/eV per cell
Formation enthalpy at 0 K: 1554 meV per atom
Energy relative to the lowest polymorph listed for this composition: 753.6 meV per atom

abc: 3.323 4.885 4.925
angles: 90.00 90.00 90.00
Sites, in units of the cell vectors:
Ba 0.000 0.000 0.000
Cr 0.000 0.500 0.500
Cr 0.500 0.000 0.500
W 0.500 0.500 0.000

***

(3)
## Ba2CrW (PBE)

Data for Ba2CrW after structural relaxation.

Computed properties:
D(E_F): 3.353 states/eV per cell
Formation enthalpy at 0 K: 1590 meV per atom
Energy relative to the lowest polymorph listed for this composition: 827.8 meV per atom

abc: 5.617 5.617 6.654
angles: 94.17 94.17 32.97
Sites, in units of the cell vectors:
Ba 0.247 0.247 0.245
Ba 0.753 0.753 0.755
Cr 0.000 0.000 0.500
W 0.500 0.500 0.000

***

(4)
## Ba2CrW (PBE)

Data for Ba2CrW after structural relaxation.

Computed properties:
D(E_F): 11.664 states/eV per cell
Formation enthalpy at 0 K: 1997 meV per atom
Energy relative to the lowest polymorph listed for this composition: 1235.6 meV per atom

abc: 5.460 5.460 5.460
angles: 60.00 60.00 60.00
Sites, in units of the cell vectors:
Ba 0.250 0.250 0.250
Ba 0.750 0.750 0.750
Cr 0.000 0.000 0.000
W 0.500 0.500 0.500

***

(5)
## Ba2CrW (PBE)

Data for Ba2CrW after structural relaxation.

Computed properties:
D(E_F): 4.566 states/eV per cell
Formation enthalpy at 0 K: 1497 meV per atom
Energy relative to the lowest polymorph listed for this composition: 735.0 meV per atom

abc: 3.341 4.812 7.558
angles: 90.00 90.14 90.00
Sites, in units of the cell vectors:
Ba 0.000 0.000 0.241
Ba 0.000 0.000 0.759
Cr 0.500 0.500 0.500
W 0.500 0.500 0.000

***

(6)
## BaCr3W (PBE)

Data for BaCr3W after structural relaxation.

Computed properties:
D(E_F): 2.887 states/eV per cell
Formation enthalpy at 0 K: 2983 meV per atom
Energy relative to the lowest polymorph listed for this composition: 1846.4 meV per atom

abc: 4.851 4.851 4.851
angles: 90.00 90.00 90.00
Sites, in units of the cell vectors:
Ba 0.000 0.000 0.000
Cr 0.000 0.000 0.500
Cr 0.000 0.500 0.000
Cr 0.500 0.000 0.000
W 0.500 0.500 0.500

***

(7)
## Ba2CrW (PBE)

Data for Ba2CrW after structural relaxation.

Computed properties:
D(E_F): 2.847 states/eV per cell
Formation enthalpy at 0 K: 1432 meV per atom
Energy relative to the lowest polymorph listed for this composition: 669.7 meV per atom

abc: 3.300 3.300 10.778
angles: 90.00 90.00 90.21
Sites, in units of the cell vectors:
Ba 0.000 0.000 0.236
Ba 0.000 0.000 0.764
Cr 0.500 0.500 0.500
W 0.500 0.500 0.000

***

(8)
## BaCr2W (PBE)

Data for BaCr2W after structural relaxation.

Computed properties:
D(E_F): 4.932 states/eV per cell
Formation enthalpy at 0 K: 1521 meV per atom
Energy relative to the lowest polymorph listed for this composition: 720.0 meV per atom

abc: 4.642 4.642 4.642
angles: 60.00 60.00 60.00
Sites, in units of the cell vectors:
Ba 0.000 0.000 0.000
Cr 0.250 0.250 0.250
Cr 0.750 0.750 0.750
W 0.500 0.500 0.500

***

(9)
## Ba2CrW (PBE)

Data for Ba2CrW after structural relaxation.

Computed properties:
D(E_F): 3.226 states/eV per cell
Formation enthalpy at 0 K: 1565 meV per atom
Energy relative to the lowest polymorph listed for this composition: 803.0 meV per atom

abc: 11.591 11.591 11.591
angles: 16.84 16.84 16.84
Sites, in units of the cell vectors:
Ba 0.245 0.245 0.245
Ba 0.755 0.755 0.755
Cr 0.000 0.000 0.000
W 0.500 0.500 0.500

***

(10)
## BaCr2W (PBE)

Data for BaCr2W after structural relaxation.

Computed properties:
D(E_F): 4.577 states/eV per cell
Formation enthalpy at 0 K: 936 meV per atom
Energy relative to the lowest polymorph listed for this composition: 135.2 meV per atom

abc: 4.769 4.769 6.502
angles: 100.24 100.24 38.50
Sites, in units of the cell vectors:
Ba 0.000 0.000 0.000
Cr 0.222 0.222 0.607
Cr 0.778 0.778 0.393
W 0.500 0.500 0.500

***

(11)
## BaCrW4 (PBE)

Data for BaCrW4 after structural relaxation.

Computed properties:
D(E_F): 6.143 states/eV per cell
Formation enthalpy at 0 K: 1107 meV per atom

abc: 5.517 5.517 5.517
angles: 60.00 60.00 60.00
Sites, in units of the cell vectors:
Ba 0.000 0.000 0.000
Cr 0.750 0.750 0.750
W 0.375 0.375 0.375
W 0.375 0.375 0.875
W 0.375 0.875 0.375
W 0.875 0.375 0.375

***

(12)
## Ba2CrW (PBE)

Data for Ba2CrW after structural relaxation.

Computed properties:
D(E_F): 4.858 states/eV per cell
Formation enthalpy at 0 K: 807 meV per atom
Energy relative to the lowest polymorph listed for this composition: 45.0 meV per atom

abc: 3.397 3.505 10.095
angles: 90.00 99.63 90.00
Sites, in units of the cell vectors:
Ba 0.000 0.000 0.000
Ba 0.202 0.500 0.398
Cr 0.373 0.500 0.738
W 0.836 0.000 0.665

***

(13)
## BaCr2W (PBE)

Data for BaCr2W after structural relaxation.

Computed properties:
D(E_F): 5.011 states/eV per cell
Formation enthalpy at 0 K: 857 meV per atom
Energy relative to the lowest polymorph listed for this composition: 56.5 meV per atom

abc: 4.331 4.331 6.706
angles: 109.15 109.15 54.62
Sites, in units of the cell vectors:
Ba 0.000 0.000 0.000
Cr 0.487 0.487 0.478
Cr 0.813 0.813 0.428
W 0.185 0.185 0.571

***

(14)
## Ba2CrW (PBE)

Data for Ba2CrW after structural relaxation.

Computed properties:
D(E_F): 3.509 states/eV per cell
Formation enthalpy at 0 K: 1367 meV per atom
Energy relative to the lowest polymorph listed for this composition: 605.3 meV per atom

abc: 5.519 5.519 5.519
angles: 120.07 120.07 89.88
Sites, in units of the cell vectors:
Ba 0.000 0.000 0.000
Ba 0.750 0.250 0.500
Cr 0.250 0.750 0.500
W 0.500 0.500 0.000

***

(15)
## BaCr2W (PBE)

Data for BaCr2W after structural relaxation.

Computed properties:
D(E_F): 9.485 states/eV per cell
Formation enthalpy at 0 K: 1339 meV per atom
Energy relative to the lowest polymorph listed for this composition: 538.0 meV per atom

abc: 8.889 8.889 8.889
angles: 144.94 144.94 50.42
Sites, in units of the cell vectors:
Ba 0.375 0.625 0.750
Ba 0.625 0.375 0.250
Cr 0.000 0.000 0.000
Cr 0.000 0.000 0.500
Cr 0.000 0.500 0.000
Cr 0.500 0.000 0.500
W 0.125 0.875 0.250
W 0.875 0.125 0.750

***

(16)
## Ba2CrW (PBE)

Data for Ba2CrW after structural relaxation.

Computed properties:
D(E_F): 5.275 states/eV per cell
Formation enthalpy at 0 K: 815 meV per atom
Energy relative to the lowest polymorph listed for this composition: 53.5 meV per atom

abc: 3.477 3.477 10.015
angles: 90.00 90.00 90.00
Sites, in units of the cell vectors:
Ba 0.000 0.000 0.000
Ba 0.500 0.500 0.407
Cr 0.000 0.000 0.665
W 0.500 0.500 0.735

***

(17)
## BaCr2W (PBE)

Data for BaCr2W after structural relaxation.

Computed properties:
D(E_F): 4.586 states/eV per cell
Formation enthalpy at 0 K: 1532 meV per atom
Energy relative to the lowest polymorph listed for this composition: 730.9 meV per atom

abc: 4.919 4.919 4.919
angles: 60.00 60.00 60.00
Sites, in units of the cell vectors:
Ba 0.000 0.000 0.000
Cr 0.500 0.500 0.500
Cr 0.750 0.750 0.750
W 0.250 0.250 0.250

***

(18)
## Ba4CrW (PBE)

Data for Ba4CrW after structural relaxation.

Computed properties:
D(E_F): 8.644 states/eV per cell
Formation enthalpy at 0 K: 1591 meV per atom

abc: 7.115 7.115 7.115
angles: 60.00 60.00 60.00
Sites, in units of the cell vectors:
Ba 0.125 0.125 0.125
Ba 0.125 0.125 0.624
Ba 0.125 0.624 0.125
Ba 0.624 0.125 0.125
Cr 0.750 0.750 0.750
W 0.500 0.500 0.500

***

(19)
## Ba2CrW (PBE)

Data for Ba2CrW after structural relaxation.

Computed properties:
D(E_F): 4.596 states/eV per cell
Formation enthalpy at 0 K: 975 meV per atom
Energy relative to the lowest polymorph listed for this composition: 213.3 meV per atom

abc: 6.723 6.723 6.723
angles: 147.18 129.75 61.32
Sites, in units of the cell vectors:
Ba 0.000 0.000 0.000
Ba 0.708 0.208 0.500
Cr 0.411 0.411 0.000
W 0.291 0.791 0.500

***

(20)
## BaCr2W (PBE)

Data for BaCr2W after structural relaxation.

Computed properties:
D(E_F): 3.602 states/eV per cell
Formation enthalpy at 0 K: 1315 meV per atom
Energy relative to the lowest polymorph listed for this composition: 514.4 meV per atom

abc: 6.080 6.080 6.080
angles: 149.41 121.35 67.60
Sites, in units of the cell vectors:
Ba 0.000 0.000 0.000
Cr 0.309 0.809 0.500
Cr 0.691 0.191 0.500
W 0.500 0.500 0.000